Version i
Below is TlH2Ru after structural relaxation, with properties calculated at the PBE level.

Summary:
mass density: 10.812 g/cm³
spin magnetization: 0.0000 μB/atom

extended XYZ file:
```
8
Lattice="4.103 0.000 0.000 0.000 4.103 0.000 2.051 2.051 5.610" Properties=species:S:1:pos:R:3 pbc="T T T"
Ru 2.051 2.051 0.000
Ru 2.051 4.103 2.805
Tl 0.000 0.000 0.000
Tl 4.103 2.051 2.805
H 2.065 1.026 1.403
H 2.038 3.077 1.403
H 3.077 4.090 4.208
H 5.129 4.116 4.208
```

Version ii
Below is TlH2Ru after structural relaxation, with properties calculated at the PBE level.

Summary:
mass density: 11.615 g/cm³
spin magnetization: 0.0000 μB/atom

extended XYZ file:
```
4
Lattice="1.166 -1.132 3.612 -1.199 2.017 3.192 -2.605 -1.622 2.505" Properties=species:S:1:pos:R:3 pbc="T T T"
Ru 0.000 0.000 0.000
Tl -1.319 -0.369 4.654
H -0.660 -0.184 2.327
H -1.979 -0.553 6.982
```

The most stable arrangement is version i, and the next structure is 672 meV/atom less stable.

Version i
Below is Tl2HRu after structural relaxation, with properties calculated at the PBE level.

Summary:
mass density: 11.770 g/cm³
spin magnetization: 0.3022 μB/atom

extended XYZ file:
```
4
Lattice="0.000 3.303 3.303 3.303 0.000 3.303 3.303 3.303 0.000" Properties=species:S:1:pos:R:3 pbc="T T T"
Ru 3.303 3.303 3.303
Tl 1.652 1.652 1.652
Tl 4.955 4.955 4.955
H 0.000 0.000 0.000
```

Version ii
Below is Tl2HRu after structural relaxation, with properties calculated at the PBE level.

Summary:
mass density: 12.256 g/cm³
spin magnetization: 0.0000 μB/atom

extended XYZ file:
```
8
Lattice="-2.366 -0.919 -6.146 5.256 -3.805 -1.454 -0.116 -4.893 -2.821" Properties=species:S:1:pos:R:3 pbc="T T T"
Ru 0.000 0.000 0.000
Ru -0.518 -4.087 -6.384
Tl -0.704 -2.216 -4.347
Tl 2.813 -3.773 -2.764
Tl 1.323 -5.677 -5.056
Tl 2.116 -7.567 -8.676
H 1.445 -2.362 -3.800
H 3.292 -5.530 -4.038
```

The most stable arrangement is version ii, and the next structure is 179 meV/atom less stable.

Version i
Below is TmH4Ru after structural relaxation, with properties calculated at the PBE level.

Summary:
mass density: 8.571 g/cm³
spin magnetization: 0.0000 μB/atom

extended XYZ file:
```
12
Lattice="3.714 -0.062 0.000 1.406 3.438 0.000 0.000 0.000 8.261" Properties=species:S:1:pos:R:3 pbc="T T T"
Tm 1.406 3.437 4.131
Tm 1.406 3.437 0.000
H 3.658 1.146 6.196
H 3.324 2.191 0.369
H 3.324 2.191 3.762
H 1.797 1.184 4.499
H 1.797 1.184 7.893
H 2.493 2.911 6.196
H 2.625 0.465 2.065
H 1.463 2.232 2.065
Ru 3.338 2.201 2.065
Ru 1.782 1.175 6.196
```

Version ii
Below is TmH4Ru after structural relaxation, with properties calculated at the PBE level.

Summary:
mass density: 7.712 g/cm³
spin magnetization: 0.0000 μB/atom

extended XYZ file:
```
12
Lattice="-4.416 -2.218 -2.648 4.182 -2.875 3.204 -2.332 3.059 3.379" Properties=species:S:1:pos:R:3 pbc="T T T"
Tm 0.334 -1.856 1.915
Tm -2.901 -0.179 2.021
H -4.936 -0.263 1.275
H -2.073 -2.236 2.887
H -1.419 0.021 3.591
H 0.431 -0.993 4.390
H -2.998 -1.042 -0.455
H -1.149 -2.056 0.344
H -0.495 0.201 1.048
H 2.368 -1.771 2.660
Ru -1.346 -0.504 -0.300
Ru -1.221 -1.531 4.235
```

The most stable arrangement is version ii, and the next structure is 9 meV/atom less stable.

Version i
Below is Tm2HRu after structural relaxation, with properties calculated at the PBE level.

Summary:
mass density: 10.034 g/cm³
spin magnetization: 0.0000 μB/atom

extended XYZ file:
```
4
Lattice="3.236 0.000 0.000 0.000 3.236 0.000 0.000 0.000 6.952" Properties=species:S:1:pos:R:3 pbc="T T T"
Ru 1.618 1.618 0.000
Tm 0.000 0.000 5.267
Tm 0.000 0.000 1.685
H 1.618 1.618 3.476
```

Version ii
Below is Tm2HRu after structural relaxation, with properties calculated at the PBE level.

Summary:
mass density: 10.270 g/cm³
spin magnetization: 0.0000 μB/atom

extended XYZ file:
```
4
Lattice="3.496 0.000 0.000 1.748 3.028 0.000 1.748 1.009 6.719" Properties=species:S:1:pos:R:3 pbc="T T T"
Ru 3.496 2.019 3.360
Tm 5.245 3.028 5.247
Tm 1.748 1.009 1.472
H 0.000 0.000 0.000
```

The most stable arrangement is version ii, and the next structure is 51 meV/atom less stable.